## ScTcMo3 (PBE-GGA)

Data for crystalline ScTcMo3 at its relaxed geometry.

Lattice parameters (Å, degrees): 4.7152 4.7152 4.7152 90.00 90.00 90.00
Element x y z (fractional)
Mo (0.0000, 0.0000, 0.5000)
Mo (0.0000, 0.5000, 0.0000)
Mo (0.5000, 0.0000, 0.0000)
Tc (0.0000, 0.0000, 0.0000)
Sc (0.5000, 0.5000, 0.5000)

* ρ: 6.82 g/cm³
* distance to the lowest polymorph of the same formula: 0.00 eV/f.u.

## La9SmAl2 (PBE-GGA)

Data for crystalline La9SmAl2 at its relaxed geometry.

Lattice parameters (Å, degrees): 5.0408 5.0408 15.3364 90.00 90.00 90.00
Element x y z (fractional)
Sm (0.0000, 0.0000, 0.0000)
La (0.5000, 0.0000, 0.5000)
La (0.5000, 0.5000, 0.6589)
La (0.5000, 0.0000, 0.1775)
La (0.0000, 0.5000, 0.1775)
La (0.5000, 0.5000, 0.3411)
La (0.5000, 0.5000, 0.0000)
La (0.0000, 0.5000, 0.5000)
La (0.5000, 0.0000, 0.8225)
La (0.0000, 0.5000, 0.8225)
Al (0.0000, 0.0000, 0.3383)
Al (0.0000, 0.0000, 0.6617)

* E_tot: -4.818 eV per atom
* ρ: 6.20 g/cm³

## AcPm8Sn6 (PBE-GGA)

Data for crystalline AcPm8Sn6 at its relaxed geometry.

Lattice parameters (Å, degrees): 9.3982 9.3982 8.5371 56.60 56.60 60.00
Element x y z (fractional)
Sn (0.7266, 0.4108, 0.7944)
Sn (0.5892, 0.9318, 0.2056)
Sn (0.9318, 0.2734, 0.2056)
Sn (0.4108, 0.0682, 0.7944)
Sn (0.2734, 0.5892, 0.2056)
Sn (0.0682, 0.7266, 0.7944)
Pm (0.5672, 0.2257, 0.3127)
Pm (0.3323, 0.3323, 0.0030)
Pm (0.4328, 0.7743, 0.6873)
Pm (0.1056, 0.4328, 0.6873)
Pm (0.7743, 0.1056, 0.6873)
Pm (0.2257, 0.8944, 0.3127)
Pm (0.8944, 0.5672, 0.3127)
Pm (0.6677, 0.6677, 0.9970)
Ac (0.0000, 0.0000, 0.0000)

* E_tot: -4.972 eV per atom
* ρ: 6.91 g/cm³

## TbCd4 (PBE-GGA)

Data for crystalline TbCd4 at its relaxed geometry.

Lattice parameters (Å, degrees): 5.9995 5.9995 5.9995 90.00 90.00 90.00
Element x y z (fractional)
Cd (0.0000, 0.0000, 0.0000)
Cd (0.0000, 0.5000, 0.5000)
Cd (0.5000, 0.0000, 0.5000)
Cd (0.5000, 0.5000, 0.0000)
Tb (0.5000, 0.5000, 0.5000)

* E_tot: -0.990 eV per atom
* ρ: 4.68 g/cm³

## La2YBe (PBE-GGA)

Data for crystalline La2YBe at its relaxed geometry.

Lattice parameters (Å, degrees): 10.4719 10.4719 10.4719 20.39 20.39 20.39
Element x y z (fractional)
Y (0.2500, 0.2500, 0.2500)
La (0.0157, 0.0157, 0.0157)
La (0.4843, 0.4843, 0.4843)
Be (0.7500, 0.7500, 0.7500)

* E_tot: -4.723 eV per atom
* ρ: 5.11 g/cm³

## Li2MgRe (PBE-GGA)

Data for crystalline Li2MgRe at its relaxed geometry.

Lattice parameters (Å, degrees): 5.4280 5.4280 5.4280 151.84 127.83 60.33
Element x y z (fractional)
Re (0.2430, 0.7430, 0.5000)
Mg (0.5129, 0.5129, 0.0000)
Li (0.9836, 0.9836, 0.0000)
Li (0.7605, 0.2605, 0.5000)

* ρ: 6.30 g/cm³
* distance to the lowest polymorph of the same formula: 0.78 eV/f.u.